Record 1
The following is a PBE calculation of a geometry-optimized ErMgGa structure, from OQMD via LeMat-Bulk. Values from VASP.

```
&SYSTEM
  ibrav = 0, nat = 9, ntyp = 3
/
ATOMIC_SPECIES
Er 167.26 Er.upf
Mg 24.30 Mg.upf
Ga 69.72 Ga.upf
CELL_PARAMETERS angstrom
7.2154 0.0000 0.0000
-3.6077 6.2487 0.0000
0.0000 0.0000 4.4113
ATOMIC_POSITIONS angstrom
Er -1.5422 2.6712 0.0000
Er 3.0844 0.0000 0.0000
Er 2.0655 3.5775 0.0000
Mg -2.7288 4.7265 2.2057
Mg 0.8789 1.5222 2.2057
Mg 5.4577 0.0000 2.2057
Ga 0.0000 0.0000 0.0000
Ga 0.0000 4.1658 2.2057
Ga 3.6077 2.0829 2.2057
```

## Properties
The final energy comes out at -3.532 eV/atom. Its symmetry is No. 189.

Record 2
The following is a PBE calculation of a geometry-optimized PmCdPO structure, from OQMD via LeMat-Bulk. Values from VASP.

```
&SYSTEM
  ibrav = 0, nat = 8, ntyp = 4
/
ATOMIC_SPECIES
Pm 145.00 Pm.upf
Cd 112.41 Cd.upf
P 30.97 P.upf
O 16.00 O.upf
CELL_PARAMETERS angstrom
4.0514 0.0000 0.0000
0.0000 6.0977 0.0000
0.0000 0.0000 6.8407
ATOMIC_POSITIONS angstrom
Pm 0.0000 0.3177 0.0000
Pm 0.0000 5.7800 3.4204
Cd 2.0257 2.4815 2.6213
Cd 2.0257 3.6162 6.0417
P 2.0257 1.3041 4.9817
P 2.0257 4.7937 1.5613
O 0.0000 1.4666 1.9478
O 0.0000 4.6311 5.3682
```

## Properties
The final energy comes out at -5.403 eV/atom. Its symmetry is No. 26. The energy above the most stable polymorph in this dataset is 0.287 eV per atom.

Record 3
The following is a PBE calculation of a geometry-optimized RbRe3N5 structure, from OQMD via LeMat-Bulk. Values from VASP.

```
&SYSTEM
  ibrav = 0, nat = 9, ntyp = 3
/
ATOMIC_SPECIES
Rb 85.47 Rb.upf
Re 186.21 Re.upf
N 14.01 N.upf
CELL_PARAMETERS angstrom
5.1991 0.0000 0.0000
-2.5996 4.5026 0.0000
0.0000 0.0000 6.3095
ATOMIC_POSITIONS angstrom
Rb 0.0000 0.0000 0.0000
Re -1.2998 2.2513 3.1548
Re 2.5996 0.0000 3.1548
Re 1.2998 2.2513 3.1548
N 0.0000 0.0000 3.1548
N 0.0000 3.0017 1.7981
N 0.0000 3.0017 4.5114
N 2.5996 1.5009 1.7981
N 2.5996 1.5009 4.5114
```

## Properties
The final energy comes out at -8.069 eV/atom. Its symmetry is No. 191.

Record 4
The following is a PBE calculation of a geometry-optimized RbPdW structure, from OQMD via LeMat-Bulk. Values from VASP.

```
&SYSTEM
  ibrav = 0, nat = 12, ntyp = 3
/
ATOMIC_SPECIES
Rb 85.47 Rb.upf
Pd 106.42 Pd.upf
W 183.84 W.upf
CELL_PARAMETERS angstrom
7.2310 0.0000 0.0000
0.0000 7.2310 0.0000
0.0000 0.0000 7.2310
ATOMIC_POSITIONS angstrom
Rb 0.0000 0.0000 0.0000
Rb 0.0000 3.6155 3.6155
Rb 3.6155 0.0000 3.6155
Rb 3.6155 3.6155 0.0000
Pd 1.8078 1.8078 5.4233
Pd 1.8078 5.4233 1.8078
Pd 5.4233 1.8078 1.8078
Pd 5.4233 5.4233 5.4233
W 1.8078 1.8078 1.8078
W 1.8078 5.4233 5.4233
W 5.4233 1.8078 5.4233
W 5.4233 5.4233 1.8078
```

## Properties
The final energy comes out at -3.672 eV/atom. Its symmetry is No. 216. The energy above the most stable polymorph in this dataset is 0.671 eV per atom.

Record 5
The following is a PBE calculation of a geometry-optimized Dy2Er5Cu2Te2 structure, from OQMD via LeMat-Bulk. Values from VASP.

```
&SYSTEM
  ibrav = 0, nat = 11, ntyp = 4
/
ATOMIC_SPECIES
Dy 162.50 Dy.upf
Er 167.26 Er.upf
Cu 63.55 Cu.upf
Te 127.60 Te.upf
CELL_PARAMETERS angstrom
-1.9716 7.7219 4.7634
1.9716 -7.7219 4.7634
1.9716 7.7219 -4.7634
ATOMIC_POSITIONS angstrom
Dy 0.0000 2.2189 0.0000
Dy 0.0000 13.2250 0.0000
Er 1.9716 4.8650 -1.3554
Er 1.9716 0.0000 2.2690
Er 0.0000 5.7187 1.4503
Er 0.0000 2.8570 3.4081
Er 0.0000 9.7252 1.4503
Cu 1.9716 3.6746 1.5638
Cu 0.0000 4.0474 6.3272
Te 0.0000 0.0000 4.7825
Te 0.0000 7.7219 3.7968
```

## Properties
The final energy comes out at -4.730 eV/atom. Its symmetry is No. 44.

Record 6
The following is a PBE calculation of a geometry-optimized Tb3In3Ir2Pd structure, from OQMD via LeMat-Bulk. Values from VASP.

```
&SYSTEM
  ibrav = 0, nat = 9, ntyp = 4
/
ATOMIC_SPECIES
Tb 158.93 Tb.upf
In 114.82 In.upf
Ir 192.22 Ir.upf
Pd 106.42 Pd.upf
CELL_PARAMETERS angstrom
7.6256 0.0000 0.0000
-3.8128 6.6040 0.0000
0.0000 0.0000 3.8861
ATOMIC_POSITIONS angstrom
Tb -2.2446 3.8877 0.0000
Tb 1.5683 2.7163 0.0000
Tb 4.4891 0.0000 0.0000
In -0.9902 1.7150 1.9430
In 1.9803 0.0000 1.9430
In 2.8226 4.8890 1.9430
Ir 0.0000 4.4027 1.9430
Ir 3.8128 2.2013 1.9430
Pd 0.0000 0.0000 0.0000
```

## Properties
The final energy comes out at -5.750 eV/atom. Its symmetry is No. 189.